# 1
The following is a DFT calculation (GGA-PBE) of a relaxed La2PrSm crystal.

Properties
Energy above the lowest structure with this stoichiometry in meV/atom: 128.5
DOS at the Fermi energy in states/eV/atom: 1.703

Cell: 3.5981 3.5981 38.7227 Å, 90.00 90.00 120.00°
Space group R-3m (No. 166, hexagonal axes)
Symmetry-distinct sites (fractional):
La (0.0000, 0.0000, 0.0889) (multiplicity 6)
Pr (0.0000, 0.0000, 0.0000) (multiplicity 3)
Sm (0.0000, 0.0000, 0.5000) (multiplicity 3)

***

# 2
The following is a DFT calculation (GGA-PBE) of a relaxed La6Pr5Sm crystal.

Properties
Energy above the lowest structure with this stoichiometry in meV/atom: 2.8
DOS at the Fermi energy in states/eV/atom: 1.812

Cell: 5.2766 15.8621 10.4261 Å, 90.00 90.09 90.00°
Space group C2/m (No. 12)
Symmetry-distinct sites (fractional):
La (0.9999, 0.0000, 0.2485) (multiplicity 4)
La (0.0000, 0.3336, 0.2493) (multiplicity 8)
Pr (0.0000, 0.1660, 0.0000) (multiplicity 4)
Pr (0.0000, 0.1669, 0.5000) (multiplicity 4)
Pr (0.0000, 0.5000, 0.5000) (multiplicity 2)
Sm (0.0000, 0.5000, 0.0000) (multiplicity 2)

***

no.,volume (Å³ per atom),formation energy (eV per atom)
1,36.18,0.139
2,36.36,0.012